[1]
DFT (PBE) results for Ho3Mg2 after structural relaxation.

```
Ho3Mg2
1.0
-1.104 4.288 3.684
-6.885 -2.460 -0.822
3.180 -4.645 4.737
Ho Mg
6 4
direct
0.516 0.259 0.423 Ho
0.500 0.500 0.000 Ho
0.016 0.423 0.259 Ho
0.984 0.577 0.741 Ho
0.000 0.000 0.500 Ho
0.484 0.741 0.577 Ho
0.750 0.181 0.819 Mg
0.250 0.063 0.937 Mg
0.250 0.819 0.181 Mg
0.750 0.937 0.063 Mg
```

Values from the calculation:
**D(E_F)**: 1.190 states/eV per atom
**ΔE to the lowest computed polymorph**: 196 meV per atom
**ΔH_f (0 K)**: 153 meV/atom
**Total DFT energy (no corrections)**: -3.23 eV/atom
**Crystal system**: monoclinic

[2]
DFT (PBE) results for RbMgTeCl6 after structural relaxation.

```
RbMgTeCl6
1.0
6.823 0.338 -0.088
3.681 6.318 -0.210
-0.098 -0.213 7.317
Cl Rb Te Mg
6 1 1 1
direct
0.602 0.352 0.729 Cl
0.362 0.015 0.685 Cl
0.618 0.041 0.278 Cl
0.015 0.360 0.304 Cl
0.006 0.630 0.692 Cl
0.365 0.621 0.314 Cl
0.006 0.996 0.997 Rb
0.666 0.665 0.498 Te
0.361 0.320 0.501 Mg
```

Values from the calculation:
**D(E_F)**: 0.006 states/eV per atom
**E_form (uncorrected)**: -1233 meV per atom
**Total DFT energy (no corrections)**: -3.10 eV/atom
**Crystal system**: triclinic

[3]
DFT (PBE) results for La3Sm4Er after structural relaxation.

```
La3Sm4Er
1.0
-0.577 2.933 1.907
-8.965 1.078 -1.077
-2.653 -3.544 7.944
Er Sm La
1 4 3
direct
0.500 0.000 0.000 Er
0.367 0.888 0.379 Sm
0.633 0.621 0.112 Sm
0.367 0.379 0.888 Sm
0.633 0.112 0.621 Sm
0.242 0.758 0.758 La
0.000 0.500 0.500 La
0.758 0.242 0.242 La
```

Values from the calculation:
**D(E_F)**: 1.534 states/eV per atom
**ΔE to the lowest computed polymorph**: 114 meV per atom
**ΔH_f (0 K)**: 116 meV/atom
**Total DFT energy (no corrections)**: -4.66 eV/atom
**Crystal system**: orthorhombic

[4]
DFT (PBE) results for SmFe2SiC after structural relaxation.

```
SmFe2SiC
1.0
5.583 -0.003 0.000
-4.258 3.612 0.000
0.000 0.000 6.761
Fe Sm C Si
4 2 2 2
direct
0.835 0.165 0.436 Fe
0.165 0.835 0.936 Fe
0.835 0.165 0.064 Fe
0.165 0.835 0.564 Fe
0.447 0.553 0.750 Sm
0.553 0.447 0.250 Sm
0.000 0.000 0.500 C
0.000 0.000 0.000 C
0.272 0.728 0.250 Si
0.728 0.272 0.750 Si
```

Values from the calculation:
**D(E_F)**: 0.842 states/eV per atom
**E_form (uncorrected)**: -466 meV per atom
**Total DFT energy (no corrections)**: -7.72 eV/atom
**Crystal system**: orthorhombic

[5]
DFT (PBE) results for La2InW after structural relaxation.

```
La2InW
1.0
4.414 0.000 0.000
0.000 4.914 0.000
0.000 0.000 4.914
In La W
1 2 1
direct
0.500 0.000 0.500 In
0.000 0.500 0.500 La
0.000 0.000 0.000 La
0.500 0.500 0.000 W
```

Values from the calculation:
**D(E_F)**: 1.265 states/eV per atom
**ΔH_f (0 K)**: 364 meV/atom
**Total DFT energy (no corrections)**: -6.02 eV/atom
**Crystal system**: tetragonal

[6]
DFT (PBE) results for PmC2N4 after structural relaxation.

```
PmC2N4
1.0
-5.290 -3.635 6.095
6.226 0.359 -6.281
5.580 3.020 6.167
C N Pm
4 8 2
direct
0.125 0.375 0.750 C
0.625 0.875 0.250 C
0.625 0.375 0.250 C
0.625 0.375 0.750 C
0.632 0.478 0.154 N
0.728 0.382 0.654 N
0.522 0.368 0.846 N
0.728 0.074 0.346 N
0.522 0.676 0.154 N
0.324 0.478 0.846 N
0.618 0.272 0.346 N
0.926 0.272 0.654 N
0.250 0.750 0.500 Pm
0.000 0.000 0.000 Pm
```

Values from the calculation:
**D(E_F)**: 0.288 states/eV per atom
**E_form (uncorrected)**: -286 meV per atom
**Total DFT energy (no corrections)**: -8.36 eV/atom
**Crystal system**: monoclinic